No. 1
Compound: TbAg2Pd3
Source: the Alexandria database
Functional: PBE
Structure: optimized geometry

As for the total energy: -28.9 eV per formula unit. For the excess energy over the best structure of this formula in the dataset, the calculation gives 0.0 meV/atom. As for the density of states at the Fermi level: 0.39 states/eV/atom.

It has space group Cmmm (No. 65), with a = 4.254 Å, b = 12.801 Å, c = 3.932 Å, α = 90.00°, β = 90.00° and γ = 90.00°. The distinct sites, in fractional coordinates, are Tb at (0.000, 0.000, 0.000), Ag at (0.000, 0.329, 0.000), Pd at (0.000, 0.168, 0.500) and Pd at (0.000, 0.500, 0.500).


No. 2
Compound: Tb4AgPd7
Source: the Alexandria database
Functional: PBE
Structure: optimized geometry

As for the total energy: -64.8 eV per formula unit. As for the density of states at the Fermi level: 0.44 states/eV/atom.

It has space group C2/m (No. 12), with a = 10.684 Å, b = 5.239 Å, c = 10.414 Å, α = 90.00°, β = 119.21° and γ = 90.00°. The distinct sites, in fractional coordinates, are Tb at (0.098, 0.000, 0.292), Tb at (0.208, 0.500, 0.132), Ag at (0.000, 0.500, 0.500), Pd at (0.000, 0.000, 0.500), Pd at (0.077, 0.500, 0.811), Pd at (0.131, 0.000, 0.018) and Pd at (0.208, 0.500, 0.403).


Energy of formation
In order: -0.50 -0.59
Unit: eV/atom